No. 1
The following is a PBE calculation of a geometry-optimized LaTbNd5Dy2 structure, from Alexandria via LeMat-Bulk.

a = 5.7445 Å, b = 20.3743 Å, c = 10.7126 Å
α = 90.00°, β = 90.00°, γ = 90.00°
Space group Cmc2_1 (No. 36)
Symmetry-distinct sites (fractional):
1 La 0.0000 0.0844 0.0000 x4
2 Tb 0.0000 0.3004 0.5596 x4
3 Nd 0.0000 0.0205 0.2895 x4
4 Nd 0.0000 0.1139 0.5728 x4
5 Nd 0.0000 0.2041 0.2546 x4
6 Nd 0.0000 0.2196 0.8625 x4
7 Nd 0.0000 0.4833 0.5724 x4
8 Dy 0.0000 0.3840 0.8687 x4
9 Dy 0.0000 0.3866 0.2821 x4

---

No. 2
The following is a PBE calculation of a geometry-optimized La2TbNd2Dy structure, from Alexandria via LeMat-Bulk.

a = 5.7799 Å, b = 10.0181 Å, c = 7.1414 Å
α = 90.00°, β = 90.00°, γ = 90.00°
Space group Pmc2_1 (No. 26)
Symmetry-distinct sites (fractional):
1 La 0.0000 0.0005 0.0000 x2
2 La 0.5000 0.1752 0.2503 x2
3 Tb 0.5000 0.4999 0.0002 x2
4 Nd 0.0000 0.3321 0.2504 x2
5 Nd 0.5000 0.1652 0.7497 x2
6 Dy 0.0000 0.3413 0.7501 x2

---

No. 3
The following is a PBE calculation of a geometry-optimized La2Tb2NdDy structure, from Alexandria via LeMat-Bulk.

a = 5.7599 Å, b = 10.0015 Å, c = 7.1034 Å
α = 90.00°, β = 90.00°, γ = 90.00°
Space group Pmc2_1 (No. 26)
Symmetry-distinct sites (fractional):
1 La 0.0000 0.0003 0.0000 x2
2 La 0.5000 0.1695 0.2502 x2
3 Tb 0.0000 0.3338 0.2498 x2
4 Tb 0.5000 0.1671 0.7499 x2
5 Nd 0.5000 0.4998 0.9997 x2
6 Dy 0.0000 0.3365 0.7496 x2

---

No. 4
The following is a PBE calculation of a geometry-optimized La2Tb2NdDy2 structure, from Alexandria via LeMat-Bulk.

a = 11.4737 Å, b = 5.1265 Å, c = 8.1296 Å
α = 90.00°, β = 98.07°, γ = 90.00°
Space group C2/m (No. 12)
Symmetry-distinct sites (fractional):
1 La 0.1427 0.0000 0.4273 x4
2 Tb 0.0710 0.5000 0.7183 x4
3 Nd 0.0000 0.0000 0.0000 x2
4 Dy 0.2159 0.5000 0.1389 x4

---

No. 5
The following is a PBE calculation of a geometry-optimized LaTb2NdDy2 structure, from Alexandria via LeMat-Bulk.

a = 6.6155 Å, b = 18.0647 Å, c = 3.4124 Å
α = 90.00°, β = 90.00°, γ = 90.00°
Space group Pnnm (No. 58)
Symmetry-distinct sites (fractional):
1 La 0.0000 0.0000 0.0000 x2
2 Tb 0.2219 0.1867 0.0000 x4
3 Nd 0.0000 0.5000 0.0000 x2
4 Dy 0.2198 0.3503 0.5000 x4

---

No. 6
The following is a PBE calculation of a geometry-optimized La2Tb2Nd4Dy structure, from Alexandria via LeMat-Bulk.

a = 19.1103 Å, b = 3.6935 Å, c = 9.7885 Å
α = 90.00°, β = 115.67°, γ = 90.00°
Space group C2/m (No. 12)
Symmetry-distinct sites (fractional):
1 La 0.1655 0.0000 0.4983 x4
2 Tb 0.1477 0.5000 0.1662 x4
3 Nd 0.0187 0.0000 0.8345 x4
4 Nd 0.1859 0.5000 0.8339 x4
5 Dy 0.0000 0.5000 0.5000 x2

---

No. 7
The following is a PBE calculation of a geometry-optimized La2TbNd3Dy6 structure, from Alexandria via LeMat-Bulk.

a = 6.2743 Å, b = 10.8675 Å, c = 11.8862 Å
α = 90.00°, β = 100.11°, γ = 90.00°
Space group C2/m (No. 12)
Symmetry-distinct sites (fractional):
1 La 0.0000 0.1665 0.0000 x4
2 Tb 0.0000 0.5000 0.0000 x2
3 Nd 0.0000 0.0000 0.5000 x2
4 Nd 0.0000 0.3333 0.5000 x4
5 Dy 0.2486 0.5000 0.7492 x4
6 Dy 0.2501 0.1662 0.7494 x8

---

No. 8
The following is a PBE calculation of a geometry-optimized La2Tb6NdDy3 structure, from Alexandria via LeMat-Bulk.

a = 6.2374 Å, b = 10.8059 Å, c = 11.9124 Å
α = 90.00°, β = 100.05°, γ = 90.00°
Space group C2/m (No. 12)
Symmetry-distinct sites (fractional):
1 La 0.0000 0.1665 0.0000 x4
2 Tb 0.2472 0.5000 0.7447 x4
3 Tb 0.2480 0.1664 0.7448 x8
4 Nd 0.0000 0.5000 0.0000 x2
5 Dy 0.0000 0.0000 0.5000 x2
6 Dy 0.0000 0.3335 0.5000 x4

---

No. 9
The following is a PBE calculation of a geometry-optimized LaTbNdDy2 structure, from Alexandria via LeMat-Bulk.

a = 8.4885 Å, b = 11.6245 Å, c = 7.2267 Å
α = 90.00°, β = 90.00°, γ = 90.00°
Space group Cmcm (No. 63)
Symmetry-distinct sites (fractional):
1 La 0.0000 0.2346 0.2500 x4
2 Tb 0.0000 0.2196 0.7500 x4
3 Nd 0.0000 0.4991 0.2500 x4
4 Dy 0.1873 0.0000 0.0000 x8

---

No. 10
The following is a PBE calculation of a geometry-optimized La2TbNdDy2 structure, from Alexandria via LeMat-Bulk.

a = 6.6382 Å, b = 18.4026 Å, c = 3.4408 Å
α = 90.00°, β = 90.00°, γ = 90.00°
Space group Pnnm (No. 58)
Symmetry-distinct sites (fractional):
1 La 0.2208 0.1884 0.0000 x4
2 Tb 0.0000 0.0000 0.0000 x2
3 Nd 0.0000 0.5000 0.0000 x2
4 Dy 0.2201 0.3557 0.5000 x4

---

No. 11
The following is a PBE calculation of a geometry-optimized La2Tb2Nd2Dy structure, from Alexandria via LeMat-Bulk.

a = 11.5105 Å, b = 5.1628 Å, c = 8.1792 Å
α = 90.00°, β = 98.18°, γ = 90.00°
Space group C2/m (No. 12)
Symmetry-distinct sites (fractional):
1 La 0.1422 0.0000 0.4255 x4
2 Tb 0.0702 0.5000 0.7164 x4
3 Nd 0.2148 0.5000 0.1400 x4
4 Dy 0.0000 0.0000 0.0000 x2

---

No. 12
The following is a PBE calculation of a geometry-optimized La3Tb6Nd2Dy structure, from Alexandria via LeMat-Bulk.

a = 6.2925 Å, b = 10.9034 Å, c = 11.9446 Å
α = 90.00°, β = 100.11°, γ = 90.00°
Space group C2/m (No. 12)
Symmetry-distinct sites (fractional):
1 La 0.0000 0.0000 0.0000 x2
2 La 0.0000 0.3332 0.0000 x4
3 Tb 0.2483 0.3337 0.7470 x8
4 Tb 0.2495 0.0000 0.7471 x4
5 Nd 0.0000 0.1665 0.5000 x4
6 Dy 0.0000 0.5000 0.5000 x2

---

| no. | formation enthalpy at 0 K (kJ/mol of atoms) |
| --- | --- |
| 1 | 14.2 |
| 2 | 5.1 |
| 3 | 6.3 |
| 4 | 2.6 |
| 5 | 26.1 |
| 6 | 0.8 |
| 7 | 1.4 |
| 8 | 1.9 |
| 9 | 34.1 |
| 10 | 23.9 |
| 11 | 2.3 |
| 12 | 1.4 |